Entry 1:
{"formula": "Ac2LaNdHg4", "functional": "PBE", "state": "optimized geometry", "e_form_ev_per_fu": -3.75, "dos_at_fermi_per_ev_fu": 8.9, "e_tot_ev_per_cell": -22.87, "mass_density_kg_m3": 10260, "space_group": "R-3m", "lattice_angstrom": [[5.6002, 0.0000, 0.0000], [2.8001, 4.8499, 0.0000], [2.8001, 1.6166, 9.1737]], "species": ["Hg", "Hg", "Hg", "Hg", "La", "Ac", "Ac", "Nd"], "fractional_positions": [[0.1258, 0.1258, 0.6225], [0.3757, 0.3757, 0.8729], [0.6243, 0.6243, 0.1271], [0.8742, 0.8742, 0.3775], [0.0000, 0.0000, 0.0000], [0.7504, 0.7504, 0.7489], [0.2496, 0.2496, 0.2511], [0.5000, 0.5000, 0.5000]]}



Entry 2:
{"formula": "K3GaBr4", "functional": "PBE", "state": "optimized geometry", "dos_at_fermi_per_ev_fu": 0.0, "e_tot_ev_per_cell": -24.54, "e_form_raw_ev_per_atom": -1.44, "mass_density_kg_m3": 2920, "space_group": "I4/mmm", "lattice_angstrom": [[6.0355, 0.0059, -2.6757], [-1.1906, 5.9170, -2.6756], [-0.0236, -0.0290, 8.0933]], "species": ["K", "K", "K", "Br", "Br", "Br", "Br", "Ga"], "fractional_positions": [[0.5000, 0.5000, 0.0000], [0.7500, 0.2500, 0.5000], [0.2500, 0.7500, 0.5000], [0.0000, 0.5000, 0.0000], [0.7583, 0.7583, 0.5167], [0.2417, 0.2417, 0.4834], [0.5000, 0.0000, 0.0000], [0.0000, 0.0000, 0.0000]]}



Entry 3:
{"formula": "SeIBrN2", "functional": "PBE", "state": "optimized geometry", "dos_at_fermi_per_ev_fu": 3.9, "e_tot_ev_per_cell": -14.56, "e_form_raw_ev_per_atom": 1.76, "mass_density_kg_m3": 4919, "space_group": "P4/mmm", "lattice_angstrom": [[3.9896, 0.0000, 0.0000], [0.0000, 3.9896, 0.0000], [0.0000, 0.0000, 6.6552]], "species": ["Br", "Se", "I", "N", "N"], "fractional_positions": [[0.5000, 0.5000, 0.5000], [0.0000, 0.0000, 0.5000], [0.0000, 0.0000, 0.0000], [0.5000, 0.0000, 0.0000], [0.0000, 0.5000, 0.0000]]}



Entry 4:
{"formula": "HgPb2W", "functional": "PBE", "state": "optimized geometry", "e_form_ev_per_fu": 2.52, "dos_at_fermi_per_ev_fu": 2.5, "e_tot_ev_per_cell": -18.16, "mass_density_kg_m3": 12262, "space_group": "Immm", "lattice_angstrom": [[-2.4835, -2.8022, 6.7738], [3.3549, -2.9254, 6.3318], [-1.6921, 5.2557, -5.4239]], "species": ["Hg", "Pb", "Pb", "W"], "fractional_positions": [[0.2500, 0.7500, 0.5000], [0.5733, 0.5733, 0.0000], [0.9267, 0.9267, 0.0000], [0.7500, 0.2500, 0.5000]]}



Entry 5:
{"formula": "La2AlSi", "functional": "PBE", "state": "optimized geometry", "dos_at_fermi_per_ev_fu": 5.8, "e_tot_ev_per_cell": -18.69, "e_form_raw_ev_per_atom": 0.08, "mass_density_kg_m3": 5548, "space_group": "F-43m", "lattice_angstrom": [[-3.1683, 2.3787, -3.3734], [-4.7726, -1.8861, -0.8606], [-4.1707, 2.5873, 1.7283]], "species": ["La", "La", "Si", "Al"], "fractional_positions": [[0.0000, 0.0000, 0.0000], [0.2500, 0.2500, 0.2500], [0.7500, 0.7500, 0.7500], [0.5000, 0.5000, 0.5000]]}



Entry 6:
{"formula": "LiCo2Cu", "functional": "PBE", "state": "optimized geometry", "e_form_ev_per_fu": 0.73, "dos_at_fermi_per_ev_fu": 3.4, "e_tot_ev_per_cell": -19.50, "mass_density_kg_m3": 6785, "space_group": "Pmmm", "lattice_angstrom": [[-0.6134, 1.4926, -1.7898], [0.2007, -3.0196, -2.5870], [-4.6401, -0.9745, 0.7775]], "species": ["Co", "Co", "Cu", "Li"], "fractional_positions": [[0.0000, 0.0000, 0.5019], [0.0000, 0.0000, 0.9981], [0.5000, 0.5000, 0.2500], [0.5000, 0.5000, 0.7500]]}



Entry 7:
{"formula": "Ce5Tl3Cd3", "functional": "PBE", "state": "optimized geometry", "e_form_ev_per_fu": 1.83, "dos_at_fermi_per_ev_fu": 33.1, "e_tot_ev_per_cell": -37.68, "mass_density_kg_m3": 8592, "space_group": "P-62m", "lattice_angstrom": [[3.2965, 0.0000, 0.0000], [0.0000, 9.1555, -5.2859], [0.0000, 0.0000, 10.5719]], "species": ["Ce", "Ce", "Ce", "Ce", "Ce", "Tl", "Tl", "Tl", "Cd", "Cd", "Cd"], "fractional_positions": [[0.5000, 0.3333, 0.6667], [0.5000, 0.0000, 0.3524], [0.5000, 0.3524, 0.0000], [0.5000, 0.6667, 0.3333], [0.5000, 0.6476, 0.6476], [0.0000, 0.0000, 0.6126], [0.0000, 0.6126, 0.0000], [0.0000, 0.3874, 0.3874], [0.5000, 0.1545, 0.1545], [0.5000, 0.0000, 0.8455], [0.5000, 0.8455, 0.0000]]}



Entry 8:
{"formula": "BaMnSe2", "functional": "PBE", "state": "optimized geometry", "dos_at_fermi_per_ev_fu": 1.0, "e_tot_ev_per_cell": -20.28, "e_form_raw_ev_per_atom": -0.55, "mass_density_kg_m3": 5034, "space_group": "I-4m2", "lattice_angstrom": [[-6.4339, 2.1920, 1.2616], [-4.8922, -3.1843, 3.7037], [6.6412, 1.9194, 0.0331]], "species": ["Se", "Se", "Ba", "Mn"], "fractional_positions": [[0.2500, 0.7500, 0.5000], [0.0000, 0.0000, 0.0000], [0.5000, 0.5000, 0.0000], [0.7500, 0.2500, 0.5000]]}



Entry 9:
{"formula": "PmY4Se5", "functional": "PBE", "state": "optimized geometry", "dos_at_fermi_per_ev_fu": 5.1, "e_tot_ev_per_cell": -65.77, "e_form_raw_ev_per_atom": -1.77, "mass_density_kg_m3": 6060, "space_group": "Immm", "lattice_angstrom": [[-0.5605, -1.3054, -3.8524], [5.7428, -0.4788, -0.6733], [-3.0086, -8.8361, 5.6201]], "species": ["Se", "Se", "Se", "Se", "Se", "Pm", "Y", "Y", "Y", "Y"], "fractional_positions": [[0.6037, 0.1037, 0.2073], [0.8009, 0.3009, 0.6019], [0.3963, 0.8963, 0.7927], [0.0000, 0.5000, 0.0000], [0.1991, 0.6991, 0.3981], [0.0000, 0.0000, 0.0000], [0.5992, 0.5992, 0.1985], [0.4008, 0.4008, 0.8015], [0.2016, 0.2016, 0.4032], [0.7984, 0.7984, 0.5968]]}



Entry 10:
{"formula": "Pm2Si3Ni12Ru", "functional": "PBE", "state": "optimized geometry", "dos_at_fermi_per_ev_fu": 15.8, "e_tot_ev_per_cell": -104.39, "e_form_raw_ev_per_atom": 0.00, "mass_density_kg_m3": 7892, "space_group": "R-3m", "lattice_angstrom": [[6.0648, -1.4079, -0.9986], [1.7709, 5.9689, -0.9986], [1.7709, 1.0308, 5.9634]], "species": ["Ni", "Ni", "Ni", "Ni", "Ni", "Ni", "Ni", "Ni", "Ni", "Ni", "Ni", "Ni", "Ru", "Si", "Si", "Si", "Pm", "Pm"], "fractional_positions": [[0.8097, 0.8097, 0.2956], [0.2956, 0.8097, 0.8097], [0.6113, 0.1038, 0.6113], [0.1903, 0.1903, 0.7044], [0.3887, 0.3887, 0.8962], [0.8097, 0.2956, 0.8097], [0.7044, 0.1903, 0.1903], [0.3887, 0.8962, 0.3887], [0.6113, 0.6113, 0.1038], [0.8962, 0.3887, 0.3887], [0.1038, 0.6113, 0.6113], [0.1903, 0.7044, 0.1903], [0.0000, 0.0000, 0.0000], [0.0000, 0.5000, 0.0000], [0.0000, 0.0000, 0.5000], [0.5000, 0.0000, 0.0000], [0.6726, 0.6726, 0.6726], [0.3274, 0.3274, 0.3274]]}



Entry 11:
{"formula": "PrGdCdNi", "functional": "PBE", "state": "optimized geometry", "e_form_ev_per_fu": -0.80, "dos_at_fermi_per_ev_fu": 3.8, "e_tot_ev_per_cell": -26.36, "mass_density_kg_m3": 7904, "space_group": "F-43m", "lattice_angstrom": [[-1.2819, 4.4057, -2.4153], [-4.7026, 2.0685, 0.7029], [-0.5233, 4.3871, 2.7142]], "species": ["Pr", "Cd", "Ni", "Gd"], "fractional_positions": [[0.0000, 0.0000, 0.0000], [0.7500, 0.7500, 0.7500], [0.2500, 0.2500, 0.2500], [0.5000, 0.5000, 0.5000]]}



Entry 12:
{"formula": "Rb3La2DyTe6", "functional": "PBE", "state": "optimized geometry", "dos_at_fermi_per_ev_fu": 0.0, "e_tot_ev_per_cell": -53.65, "e_form_raw_ev_per_atom": -1.45, "mass_density_kg_m3": 5012, "space_group": "C2/m", "lattice_angstrom": [[-5.9072, -5.4072, -1.1551], [7.5328, -2.5081, 1.5600], [-2.2510, 2.7206, 8.2377]], "species": ["Te", "Te", "Te", "Te", "Te", "Te", "Rb", "Rb", "Rb", "La", "La", "Dy"], "fractional_positions": [[0.3904, 0.0677, 0.2035], [0.7459, 0.7459, 0.2043], [0.9323, 0.6096, 0.7965], [0.2541, 0.2541, 0.7957], [0.0677, 0.3904, 0.2035], [0.6096, 0.9323, 0.7965], [0.8308, 0.1692, 0.5000], [0.1692, 0.8308, 0.5000], [0.5000, 0.5000, 0.5000], [0.3337, 0.6663, 0.0000], [0.6663, 0.3337, 0.0000], [0.0000, 0.0000, 0.0000]]}